## BaPr2US8 (GGA-PBE)

Data for a relaxed structure of BaPr2US8.

Cell lengths 5.2762, 6.8663, 8.6318 Å; angles 90.17, 107.38, 90.22 degrees
Last column: nearest neighbours and their distance in Å.
Fractional coordinates of all 12 atoms:
1 Ba 0.0000 0.0000 0.0000  8 S 3.25-3.39
2 Pr 0.3459 0.4734 0.6928  7 S 2.89-3.18
3 Pr 0.6541 0.5266 0.3072  7 S 2.89-3.18
4 U 0.5000 0.0000 0.5000  6 S 2.49-2.61
5 S 0.1689 0.2463 0.3553  1 U 2.49
6 S 0.1971 0.4701 0.0012  1 S 2.12
7 S 0.2028 0.6943 0.3956  1 U 2.61, 1 Pr 2.89
8 S 0.3944 0.0530 0.7668  1 U 2.55
9 S 0.6056 0.9470 0.2332  1 U 2.55
10 S 0.7972 0.3057 0.6044  1 U 2.61, 1 Pr 2.89
11 S 0.8029 0.5299 0.9988  1 S 2.12
12 S 0.8311 0.7537 0.6447  1 U 2.49

The calculated volume is 24.87 Å³ per atom. Its formation energy (no corrections) is -18.6 eV per formula unit. Its space group is P-1 (2).